(1)
VASP calculation (PBE) on a relaxed structure of HoMoOs.

a b c (Å): 10.6565 9.9404 5.2928
angles (deg): 82.76 67.72 29.52
With the nearest neighbours (Å) after each atom.
Sites, in units of the cell vectors:
1 Ho 0.0418 0.7082 0.0418  4 Os 2.83-2.85, 3 Ho 3.00-3.09
2 Ho 0.2918 0.9582 0.2918  4 Os 2.83-2.85, 3 Ho 3.00-3.09
3 Ho 0.7082 0.0418 0.7082  4 Os 2.83-2.85, 3 Ho 3.00-3.09
4 Ho 0.9582 0.2918 0.9582  4 Os 2.83-2.85, 3 Ho 3.00-3.09
5 Mo 0.2979 0.2979 0.4521  4 Os 2.73-2.80, 1 Mo 2.96
6 Mo 0.4521 0.4521 0.2979  4 Os 2.73-2.80, 1 Mo 2.96
7 Mo 0.5479 0.5479 0.7021  4 Os 2.73-2.80, 1 Mo 2.96
8 Mo 0.7021 0.7021 0.5479  4 Os 2.73-2.80, 1 Mo 2.96
9 Os 0.0002 0.0002 0.2498  2 Os 2.65, 4 Mo 2.73-2.80, 4 Ho 2.83-2.85
10 Os 0.9998 0.9998 0.7502  2 Os 2.65, 4 Mo 2.73-2.80, 4 Ho 2.83-2.85
11 Os 0.2498 0.2498 0.0002  2 Os 2.65, 4 Mo 2.73-2.80, 4 Ho 2.83-2.85
12 Os 0.7502 0.7502 0.9998  2 Os 2.65, 4 Mo 2.73-2.80, 4 Ho 2.83-2.85

Values from the calculation:
energy relative to the elements = 12.09 kJ per mole of atoms
DFT total energy = -0.643 Ry/atom
density of states at the Fermi level = 0.8199 states/eV/atom

=====

(2)
VASP calculation (PBE) on a relaxed structure of HoMoP.

a b c (Å): 8.2183 8.2183 3.1007
angles (deg): 90.00 90.00 142.63
With the nearest neighbours (Å) after each atom.
Sites, in units of the cell vectors:
1 Ho 0.1047 0.8953 0.7500  2 P 2.63, 1 Mo 2.78
2 Ho 0.8953 0.1047 0.2500  2 P 2.63, 1 Mo 2.78
3 Mo 0.2834 0.7166 0.7500  2 P 2.39
4 Mo 0.7166 0.2834 0.2500  2 P 2.39
5 P 0.4000 0.6000 0.2500  2 Mo 2.39, 2 Ho 2.63
6 P 0.6000 0.4000 0.7500  2 Mo 2.39, 2 Ho 2.63

Values from the calculation:
energy relative to the elements = 12.49 kJ per mole of atoms
DFT total energy = -0.501 Ry/atom
density of states at the Fermi level = 0.7734 states/eV/atom

=====

(3)
VASP calculation (PBE) on a relaxed structure of HoMoP2.

a b c (Å): 6.3063 6.3063 6.3063
angles (deg): 34.77 34.77 34.77
With the nearest neighbours (Å) after each atom.
Sites, in units of the cell vectors:
1 Ho 0.0000 0.0000 0.0000  6 P 2.75
2 Mo 0.5000 0.5000 0.5000  6 P 2.52
3 P 0.2384 0.2384 0.2384  3 Mo 2.52, 3 Ho 2.75
4 P 0.7616 0.7616 0.7616  3 Mo 2.52, 3 Ho 2.75

Values from the calculation:
energy relative to the elements = -77.08 kJ per mole of atoms
DFT total energy = -0.541 Ry/atom
density of states at the Fermi level = 0.6121 states/eV/atom

=====

Copy entry 1 word for word.
VASP calculation (PBE) on a relaxed structure of HoMoOs.

a b c (Å): 10.6565 9.9404 5.2928
angles (deg): 82.76 67.72 29.52
With the nearest neighbours (Å) after each atom.
Sites, in units of the cell vectors:
1 Ho 0.0418 0.7082 0.0418  4 Os 2.83-2.85, 3 Ho 3.00-3.09
2 Ho 0.2918 0.9582 0.2918  4 Os 2.83-2.85, 3 Ho 3.00-3.09
3 Ho 0.7082 0.0418 0.7082  4 Os 2.83-2.85, 3 Ho 3.00-3.09
4 Ho 0.9582 0.2918 0.9582  4 Os 2.83-2.85, 3 Ho 3.00-3.09
5 Mo 0.2979 0.2979 0.4521  4 Os 2.73-2.80, 1 Mo 2.96
6 Mo 0.4521 0.4521 0.2979  4 Os 2.73-2.80, 1 Mo 2.96
7 Mo 0.5479 0.5479 0.7021  4 Os 2.73-2.80, 1 Mo 2.96
8 Mo 0.7021 0.7021 0.5479  4 Os 2.73-2.80, 1 Mo 2.96
9 Os 0.0002 0.0002 0.2498  2 Os 2.65, 4 Mo 2.73-2.80, 4 Ho 2.83-2.85
10 Os 0.9998 0.9998 0.7502  2 Os 2.65, 4 Mo 2.73-2.80, 4 Ho 2.83-2.85
11 Os 0.2498 0.2498 0.0002  2 Os 2.65, 4 Mo 2.73-2.80, 4 Ho 2.83-2.85
12 Os 0.7502 0.7502 0.9998  2 Os 2.65, 4 Mo 2.73-2.80, 4 Ho 2.83-2.85

Values from the calculation:
energy relative to the elements = 12.09 kJ per mole of atoms
DFT total energy = -0.643 Ry/atom
density of states at the Fermi level = 0.8199 states/eV/atom

=====

Question: Which value of density of states at the Fermi level does entry 3 give?
Answer: 0.6121 states/eV/atom

=====

Question: energy relative to the elements of number 2 (HoMoP)?
Answer: 12.49 kJ per mole of atoms

=====

Question: Number 1 is which compound?
Answer: HoMoOs